Compound: CuMoBr2
Source: the Alexandria database
Functional: PBE
Structure: relaxed

Properties
Total magnetic moment: 1.2 μB per formula unit
DOS at the Fermi energy: 1.8 states/eV/cell
E_tot: -17.08 eV per formula unit
Excess energy over the best structure of this formula in the dataset: 0.1148 eV/atom
Energy relative to the elements, uncorrected: 1.19 eV/f.u.

Unit cell a=3.2657 b=3.2657 c=7.9922 alpha=90.00 beta=90.00 gamma=89.97
With the nearest neighbours (Å) after each atom.
Atoms (fractional coordinates):
1 Mo 0.5000 0.5000 0.7061  4 Cu 2.72, 5 Br 2.76-2.81
2 Br 0.5000 0.5000 0.3613  4 Cu 2.66, 1 Mo 2.76
3 Br 0.0000 0.0000 0.9070  4 Mo 2.81, 1 Cu 3.05
4 Cu 0.0000 0.0000 0.5256  4 Br 2.66, 4 Mo 2.72

Compound: HoTh3Co
Source: the Alexandria database
Functional: PBE
Structure: relaxed

Properties
Total magnetic moment: 0.0 μB per formula unit
Energy relative to the elements: 30 meV/atom
DOS at the Fermi energy: 9.8 states/eV/cell
E_tot: -33.79 eV per formula unit

Unit cell a=5.3378 b=5.3378 c=5.3378 alpha=90.00 beta=90.00 gamma=90.00
With the nearest neighbours (Å) after each atom.
Atoms (fractional coordinates):
1 Th 0.0000 0.5000 0.0000  2 Co 2.67
2 Ho 0.5000 0.5000 0.5000  12 Th 3.77
3 Th 0.5000 0.0000 0.0000  2 Co 2.67
4 Co 0.0000 0.0000 0.0000  6 Th 2.67
5 Th 0.0000 0.0000 0.5000  2 Co 2.67

Compound: Ba2AgIr
Source: the Alexandria database
Functional: PBE
Structure: relaxed

Properties
Total magnetic moment: 0.2 μB per formula unit
Energy relative to the elements: 155 meV/atom
DOS at the Fermi energy: 4.2 states/eV/cell
E_tot: -14.94 eV per formula unit
Excess energy over the best structure of this formula in the dataset: 0.2437 eV/atom

Unit cell a=4.6839 b=4.6839 c=6.4562 alpha=90.00 beta=90.00 gamma=90.00
With the nearest neighbours (Å) after each atom.
Atoms (fractional coordinates):
1 Ba 0.5000 0.5000 0.3750  2 Ag 3.23, 4 Ir 3.31
2 Ba 0.0000 0.0000 0.8763  2 Ir 3.21-3.24, 4 Ag 3.31
3 Ir 0.0000 0.0000 0.3741  6 Ba 3.21-3.31
4 Ag 0.5000 0.5000 0.8746  6 Ba 3.23-3.31